VASP calculation (SCAN) on a crystal of AlRu relaxed with PBEsol.

```
2
Lattice="1.4153 0.8171 3.9591 -1.4153 0.8171 3.9591 0.0000 -1.6342 3.9591" Properties=species:S:1:pos:R:3 pbc="T T T"
Al 0.0000 0.0000 0.0000
Ru 0.0000 0.0000 5.9386
```

**Symmetry**: R-3m
**Energy of formation from the pure elements**: -0.508 eV/atom
**Uncorrected energy**: -21.7974 eV/atom